A plane-wave DFT calculation with PBE was carried out for a relaxed structure of Ti2BeTc.

Summary:
Space group = No. 122
Formation enthalpy at 0 K = 5.6 kcal/mol of atoms
Calculated volume = 118 Å³ per cell

a = 5.457 Å, b = 5.457 Å, c = 5.457 Å
α = 102.25°, β = 102.25°, γ = 125.14°
Sites, in units of the cell vectors:
Ti  0.122  0.625  0.997
Ti  0.375  0.372  0.497
Ti  0.628  0.125  0.003
Ti  0.875  0.878  0.503
Be  0.000  0.000  0.000
Be  0.750  0.250  0.500
Tc  0.250  0.750  0.500
Tc  0.500  0.500  0.000